(1)
# LiMgCdAu

Crystalline LiMgCdAu at its relaxed geometry (GGA-PBE, the Open Quantum Materials Database).

Cell lengths 4.644, 4.644, 6.555 Å; angles 90.00, 90.00, 90.00 degrees
Space group P-4m2 (No. 115)
Asymmetric unit:
Li  0.000  0.500  0.250 (multiplicity 2)
Mg  0.000  0.000  0.000 (multiplicity 1)
Mg  0.500  0.500  0.500 (multiplicity 1)
Cd  0.000  0.000  0.500 (multiplicity 1)
Cd  0.500  0.500  0.000 (multiplicity 1)
Au  0.000  0.500  0.750 (multiplicity 2)

Computed properties:
The final energy comes out at -2.338 eV/atom. Its calculated density is 8.00 g/cm³. As for the crystal system: tetragonal.



(2)
# Li2Mg3CdAu2

Crystalline Li2Mg3CdAu2 at its relaxed geometry (GGA-PBE, the Open Quantum Materials Database).

Cell lengths 4.637, 4.637, 6.563 Å; angles 90.00, 90.00, 90.00 degrees
Space group P-4m2 (No. 115)
Asymmetric unit:
Li  0.000  0.500  0.244 (multiplicity 2)
Mg  0.000  0.000  0.000 (multiplicity 1)
Mg  0.000  0.000  0.500 (multiplicity 1)
Mg  0.500  0.500  0.500 (multiplicity 1)
Cd  0.500  0.500  0.000 (multiplicity 1)
Au  0.000  0.500  0.737 (multiplicity 2)

Computed properties:
The final energy comes out at -2.447 eV/atom. Its calculated density is 6.98 g/cm³. As for the crystal system: tetragonal.



(3)
# Li4MgCdAu2

Crystalline Li4MgCdAu2 at its relaxed geometry (GGA-PBE, the Open Quantum Materials Database).

Cell lengths 4.510, 4.510, 6.469 Å; angles 90.00, 90.00, 90.00 degrees
Space group P-4m2 (No. 115)
Asymmetric unit:
Li  0.000  0.000  0.000 (multiplicity 1)
Li  0.000  0.500  0.748 (multiplicity 2)
Li  0.500  0.500  0.500 (multiplicity 1)
Mg  0.500  0.500  0.000 (multiplicity 1)
Cd  0.000  0.000  0.500 (multiplicity 1)
Au  0.000  0.500  0.235 (multiplicity 2)

Computed properties:
The final energy comes out at -2.507 eV/atom. Its calculated density is 7.05 g/cm³. As for the crystal system: tetragonal.



(4)
# Li2Mg2TlCdAu2

Crystalline Li2Mg2TlCdAu2 at its relaxed geometry (GGA-PBE, the Open Quantum Materials Database).

Cell lengths 4.707, 4.707, 6.665 Å; angles 90.00, 90.00, 90.00 degrees
Space group P-4m2 (No. 115)
Asymmetric unit:
Li  0.000  0.500  0.246 (multiplicity 2)
Mg  0.000  0.000  0.000 (multiplicity 1)
Mg  0.500  0.500  0.500 (multiplicity 1)
Tl  0.000  0.000  0.500 (multiplicity 1)
Cd  0.500  0.500  0.000 (multiplicity 1)
Au  0.000  0.500  0.760 (multiplicity 2)

Computed properties:
The final energy comes out at -2.469 eV/atom. Its calculated density is 8.69 g/cm³. As for the crystal system: tetragonal.



(5)
# Li2Mg2ZnCdAu2

Crystalline Li2Mg2ZnCdAu2 at its relaxed geometry (GGA-PBE, the Open Quantum Materials Database).

Cell lengths 4.559, 4.559, 6.482 Å; angles 90.00, 90.00, 90.00 degrees
Space group P-4m2 (No. 115)
Asymmetric unit:
Li  0.000  0.500  0.236 (multiplicity 2)
Mg  0.000  0.000  0.000 (multiplicity 1)
Mg  0.500  0.500  0.500 (multiplicity 1)
Zn  0.500  0.500  0.000 (multiplicity 1)
Cd  0.000  0.000  0.500 (multiplicity 1)
Au  0.000  0.500  0.767 (multiplicity 2)

Computed properties:
The final energy comes out at -2.388 eV/atom. Its calculated density is 7.82 g/cm³. As for the crystal system: tetragonal.



(6)
# LiNdCd2Au4

Crystalline LiNdCd2Au4 at its relaxed geometry (GGA-PBE, the Open Quantum Materials Database).

Cell lengths 4.909, 4.909, 6.812 Å; angles 90.00, 90.00, 90.00 degrees
Space group P4/mmm (No. 123)
Asymmetric unit:
Li  0.000  0.000  0.000 (multiplicity 1)
Nd  0.500  0.500  0.500 (multiplicity 1)
Cd  0.000  0.000  0.500 (multiplicity 1)
Cd  0.500  0.500  0.000 (multiplicity 1)
Au  0.000  0.500  0.223 (multiplicity 4)

Computed properties:
The final energy comes out at -3.186 eV/atom. Its calculated density is 11.77 g/cm³. As for the crystal system: tetragonal. As for the spin magnetization: 0.001 μB per cell.



(7)
# Li4Cd2PdAu

Crystalline Li4Cd2PdAu at its relaxed geometry (GGA-PBE, the Open Quantum Materials Database).

Cell lengths 4.507, 4.507, 6.406 Å; angles 90.00, 90.00, 90.00 degrees
Space group P-4m2 (No. 115)
Asymmetric unit:
Li  0.000  0.000  0.000 (multiplicity 1)
Li  0.000  0.500  0.247 (multiplicity 2)
Li  0.500  0.500  0.500 (multiplicity 1)
Cd  0.000  0.500  0.760 (multiplicity 2)
Pd  0.500  0.500  0.000 (multiplicity 1)
Au  0.000  0.000  0.500 (multiplicity 1)

Computed properties:
The final energy comes out at -2.639 eV/atom. Its calculated density is 7.10 g/cm³. As for the crystal system: tetragonal.



(8)
# Li4Cd2PtAu

Crystalline Li4Cd2PtAu at its relaxed geometry (GGA-PBE, the Open Quantum Materials Database).

Cell lengths 4.507, 4.507, 6.392 Å; angles 90.00, 90.00, 90.00 degrees
Space group P-4m2 (No. 115)
Asymmetric unit:
Li  0.000  0.000  0.000 (multiplicity 1)
Li  0.000  0.500  0.245 (multiplicity 2)
Li  0.500  0.500  0.500 (multiplicity 1)
Cd  0.000  0.500  0.758 (multiplicity 2)
Pt  0.500  0.500  0.000 (multiplicity 1)
Au  0.000  0.000  0.500 (multiplicity 1)

Computed properties:
The final energy comes out at -2.779 eV/atom. Its calculated density is 8.25 g/cm³. As for the crystal system: tetragonal. As for the spin magnetization: 0.004 μB per cell.



(9)
# LiCdSiAu

Crystalline LiCdSiAu at its relaxed geometry (GGA-PBE, the Open Quantum Materials Database).

Cell lengths 6.482, 6.482, 6.482 Å; angles 90.00, 90.00, 90.00 degrees
Space group F-43m (No. 216)
Asymmetric unit:
Li  0.000  0.000  0.000 (multiplicity 4)
Cd  0.250  0.250  0.750 (multiplicity 4)
Si  0.250  0.250  0.250 (multiplicity 4)
Au  0.000  0.000  0.500 (multiplicity 4)

Computed properties:
The final energy comes out at -2.972 eV/atom. Its calculated density is 8.40 g/cm³. As for the crystal system: cubic.



(10)
# Li4CdSiAu2

Crystalline Li4CdSiAu2 at its relaxed geometry (GGA-PBE, the Open Quantum Materials Database).

Cell lengths 4.402, 4.402, 6.320 Å; angles 90.00, 90.00, 90.00 degrees
Space group P-4m2 (No. 115)
Asymmetric unit:
Li  0.000  0.000  0.000 (multiplicity 1)
Li  0.000  0.500  0.735 (multiplicity 2)
Li  0.500  0.500  0.500 (multiplicity 1)
Cd  0.500  0.500  0.000 (multiplicity 1)
Si  0.000  0.000  0.500 (multiplicity 1)
Au  0.000  0.500  0.286 (multiplicity 2)

Computed properties:
The final energy comes out at -3.004 eV/atom. Its calculated density is 7.62 g/cm³. As for the crystal system: tetragonal.



(11)
# LiCdSiAu

Crystalline LiCdSiAu at its relaxed geometry (GGA-PBE, the Open Quantum Materials Database).

Cell lengths 6.444, 6.444, 6.444 Å; angles 90.00, 90.00, 90.00 degrees
Space group F-43m (No. 216)
Asymmetric unit:
Li  0.000  0.000  0.000 (multiplicity 4)
Cd  0.250  0.250  0.250 (multiplicity 4)
Si  0.000  0.000  0.500 (multiplicity 4)
Au  0.250  0.250  0.750 (multiplicity 4)

Computed properties:
The final energy comes out at -3.001 eV/atom. Its calculated density is 8.55 g/cm³. As for the crystal system: cubic.



(12)
# Li4CdSn2Au

Crystalline Li4CdSn2Au at its relaxed geometry (GGA-PBE, the Open Quantum Materials Database).

Cell lengths 4.659, 4.659, 6.595 Å; angles 90.00, 90.00, 90.00 degrees
Space group P-4m2 (No. 115)
Asymmetric unit:
Li  0.000  0.000  0.000 (multiplicity 1)
Li  0.000  0.500  0.232 (multiplicity 2)
Li  0.500  0.500  0.500 (multiplicity 1)
Cd  0.000  0.000  0.500 (multiplicity 1)
Sn  0.000  0.500  0.759 (multiplicity 2)
Au  0.500  0.500  0.000 (multiplicity 1)

Computed properties:
The final energy comes out at -2.910 eV/atom. Its calculated density is 6.66 g/cm³. As for the crystal system: tetragonal.